# PBE Pr2ZrAu, optimized geometry
# * SG: No. 123
# * ΔH_f (0 K): -0.253 eV/atom
data_Pr2ZrAu
_chemical_formula_sum 'Pr2 Zr1 Au1'
_cell_length_a 3.596
_cell_length_b 3.596
_cell_length_c 8.610
_cell_angle_alpha 90.00
_cell_angle_beta 90.00
_cell_angle_gamma 90.00
_symmetry_space_group_name_H-M 'P 1'
_symmetry_Int_Tables_number 1
_symmetry_space_group_name_Hall 'P 1'
loop_
_atom_site_label
_atom_site_type_symbol
_atom_site_fract_x
_atom_site_fract_y
_atom_site_fract_z
Pr1 Pr 0.000 0.000 0.770
Pr2 Pr 0.000 0.000 0.230
Au1 Au 0.500 0.500 0.000
Zr1 Zr 0.500 0.500 0.500

# PBE Pr2DyTlO, optimized geometry
# * SG: No. 123
data_Pr2DyTlO
_chemical_formula_sum 'Pr2 Dy1 Tl1 O1'
_cell_length_a 4.752
_cell_length_b 5.069
_cell_length_c 5.069
_cell_angle_alpha 90.00
_cell_angle_beta 90.00
_cell_angle_gamma 90.00
_symmetry_space_group_name_H-M 'P 1'
_symmetry_Int_Tables_number 1
_symmetry_space_group_name_Hall 'P 1'
loop_
_atom_site_label
_atom_site_type_symbol
_atom_site_fract_x
_atom_site_fract_y
_atom_site_fract_z
Pr1 Pr 0.000 0.000 0.500
Pr2 Pr 0.000 0.500 0.000
Dy1 Dy 0.500 0.000 0.000
Tl1 Tl 0.500 0.500 0.500
O1 O 0.000 0.000 0.000

Number 1: electronic total energy -5.60 eV per atom, N(E_F) 1.08 states/eV/atom. Number 2: electronic total energy -5.63 eV per atom, N(E_F) 0.42 states/eV/atom.